# 1
Density functional theory data (GGA-PBE) for a relaxed Pr2TmP2N6 crystal.

## Properties
**Raw total energy**: -7.78 eV/atom
**Total magnetization**: 1.02 μB/f.u.
**N(E_F)**: 5.8 states/eV per cell
**Calculated volume**: 472.75 Å³ per cell
**Formation energy from raw total energies**: -0.982 eV/atom

Cell lengths 5.5877, 5.5877, 17.4838 Å; angles 90.00, 90.00, 120.00 degrees
Space group R-3m (No. 166, hexagonal axes)
Asymmetric unit:
Pr 0.0000 0.0000 0.2098 (multiplicity 6)
Tm 0.0000 0.0000 0.0000 (multiplicity 3)
P 0.0000 0.0000 0.4119 (multiplicity 6)
N 0.0073 0.5037 0.2420 (multiplicity 18)

=====

# 2
Density functional theory data (GGA-PBE) for a relaxed TmPaRe4 crystal.

## Properties
**Raw total energy**: -10.76 eV/atom
**Total magnetization**: 0.00 μB/f.u.
**N(E_F)**: 53.8 states/eV per cell
**ΔH_f (0 K)**: -0.14 eV per atom
**Calculated volume**: 450.57 Å³ per cell

Cell lengths 7.666, 7.666, 7.666 Å; angles 90.00, 90.00, 90.00 degrees
Space group F-43m (No. 216)
Asymmetric unit:
Tm 0.000 0.000 0.000 (multiplicity 4)
Pa 0.250 0.250 0.250 (multiplicity 4)
Re 0.125 0.125 0.625 (multiplicity 16)

=====

# 3
Density functional theory data (GGA-PBE) for a relaxed RbHfNb2As crystal.

## Properties
**Raw total energy**: -4.69 eV/atom
**Total magnetization**: 0.00 μB/f.u.
**N(E_F)**: 5.2 states/eV per cell
**ΔH_f (0 K)**: 2.45 eV per atom
**Calculated volume**: 122.48 Å³ per cell

Cell lengths 4.749, 4.749, 5.430 Å; angles 90.00, 90.00, 90.00 degrees
Space group P4/mmm (No. 123)
Asymmetric unit:
Rb 0.000 0.000 0.000 (multiplicity 1)
Hf 0.500 0.500 0.500 (multiplicity 1)
Nb 0.000 0.500 0.000 (multiplicity 2)
As 0.000 0.000 0.500 (multiplicity 1)